1.
## AgTeOs2 (PBE-GGA)

Data for a relaxed AgTeOs2 crystal.

energy relative to the elements, uncorrected = 3.60 eV per formula unit
calculated volume = 68.4 Å³ per cell
calculated density = 14.952 g/cm³
total DFT energy (no corrections) = -6.212 eV per atom
N(E_F) = 3.2 states/eV per cell

The structure in POSCAR format:
```
AgTeOs2
1.0
4.345 -1.514 0.000
4.345 1.514 0.000
-0.918 0.000 5.198
Ag Te Os
1 1 2
Direct
0.000 0.000 0.000
0.500 0.500 0.500
0.247 0.247 0.730
0.753 0.753 0.270
```

***

2.
## LiTm4Ir2 (PBE-GGA)

Data for a relaxed LiTm4Ir2 crystal.

calculated volume = 315.6 Å³ per cell
calculated density = 11.230 g/cm³
calculated formation energy = -0.64 eV per atom
polymorph energy (0 for the lowest one) = 61 meV per atom
total DFT energy (no corrections) = -5.996 eV per atom
N(E_F) = 9.0 states/eV per cell

The structure in POSCAR format:
```
LiTm4Ir2
1.0
6.714 0.000 0.000
0.003 6.719 0.000
3.350 3.234 6.995
Li Tm Ir
2 8 4
Direct
0.000 0.000 0.000
0.159 0.846 0.676
0.222 0.199 0.312
0.222 0.701 0.322
0.366 0.422 0.836
0.452 0.921 0.837
0.697 0.644 0.361
0.706 0.141 0.354
0.745 0.559 0.977
0.884 0.282 0.698
0.069 0.554 0.110
0.342 0.289 0.564
0.572 0.075 0.075
0.810 0.767 0.599
```

***

3.
## ZnAs2Ru (PBE-GGA)

Data for a relaxed ZnAs2Ru crystal.

calculated volume = 64.7 Å³ per cell
calculated density = 8.123 g/cm³
calculated formation energy = 0.20 eV per atom
total DFT energy (no corrections) = -4.761 eV per atom
N(E_F) = 2.1 states/eV per cell

The structure in POSCAR format:
```
ZnAs2Ru
1.0
-1.617 2.322 4.305
1.617 -2.322 4.305
1.617 2.322 -4.305
Zn As Ru
1 2 1
Direct
0.000 0.000 0.000
0.255 0.755 0.500
0.520 0.520 0.000
0.741 0.241 0.500
```

***

4.
## CaAgI2N (PBE-GGA)

Data for a relaxed CaAgI2N crystal.

energy relative to the elements, uncorrected = 1.04 eV per formula unit
calculated volume = 146.6 Å³ per cell
calculated density = 4.711 g/cm³
polymorph energy (0 for the lowest one) = 0 meV per atom
total DFT energy (no corrections) = -3.048 eV per atom
N(E_F) = 2.5 states/eV per cell

The structure in POSCAR format:
```
CaAgI2N
1.0
5.954 0.000 0.000
0.000 5.954 0.000
0.000 0.000 4.134
Ca Ag I N
1 1 2 1
Direct
0.000 0.000 0.000
0.500 0.500 0.500
0.000 0.500 0.500
0.500 0.000 0.500
0.500 0.500 0.000
```

***

5.
## Pm2CuTeO6 (PBE-GGA)

Data for a relaxed Pm2CuTeO6 crystal.

energy relative to the elements, uncorrected = -20.26 eV per formula unit
calculated volume = 140.6 Å³ per cell
calculated density = 6.814 g/cm³
total DFT energy (no corrections) = -6.675 eV per atom
N(E_F) = 2.4 states/eV per cell

The structure in POSCAR format:
```
Pm2CuTeO6
1.0
2.895 1.671 4.846
-2.895 1.671 4.846
0.000 -3.342 4.846
Pm Cu Te O
2 1 1 6
Direct
0.000 0.000 0.000
0.497 0.497 0.497
0.222 0.222 0.222
0.719 0.719 0.719
0.074 0.440 0.856
0.365 0.925 0.587
0.440 0.856 0.074
0.587 0.365 0.925
0.856 0.074 0.440
0.925 0.587 0.365
```

***

6.
## MnRuCl2 (PBE-GGA)

Data for a relaxed MnRuCl2 crystal.

energy relative to the elements, uncorrected = 1.91 eV per formula unit
calculated volume = 62.1 Å³ per cell
calculated density = 6.065 g/cm³
polymorph energy (0 for the lowest one) = 633 meV per atom
total DFT energy (no corrections) = -5.057 eV per atom
N(E_F) = 2.8 states/eV per cell

The structure in POSCAR format:
```
MnRuCl2
1.0
4.428 0.000 0.000
0.000 4.428 0.000
0.000 0.000 3.169
Mn Ru Cl
1 1 2
Direct
0.000 0.000 0.000
0.500 0.500 0.000
0.000 0.500 0.500
0.500 0.000 0.500
```

***

7.
## Cs2ZnAg4 (PBE-GGA)

Data for a relaxed Cs2ZnAg4 crystal.

calculated volume = 254.5 Å³ per cell
calculated density = 4.976 g/cm³
calculated formation energy = 0.22 eV per atom
total DFT energy (no corrections) = -1.832 eV per atom
N(E_F) = 4.2 states/eV per cell

The structure in POSCAR format:
```
Cs2ZnAg4
1.0
-2.604 2.604 9.381
2.604 -2.604 9.381
2.604 2.604 -9.381
Cs Zn Ag
2 1 4
Direct
0.151 0.151 0.000
0.849 0.849 0.000
0.500 0.500 0.000
0.000 0.500 0.500
0.364 0.364 0.000
0.500 0.000 0.500
0.636 0.636 0.000
```

***

8.
## LiY2Mg (PBE-GGA)

Data for a relaxed LiY2Mg crystal.

calculated volume = 108.9 Å³ per cell
calculated density = 3.186 g/cm³
calculated formation energy = 0.17 eV per atom
total DFT energy (no corrections) = -3.934 eV per atom
N(E_F) = 4.7 states/eV per cell

The structure in POSCAR format:
```
LiY2Mg
1.0
0.000 3.791 3.791
3.791 0.000 3.791
3.791 3.791 0.000
Li Y Mg
1 2 1
Direct
0.000 0.000 0.000
0.500 0.500 0.500
0.750 0.750 0.750
0.250 0.250 0.250
```

***

no.,total moment (μB per atom)
1,0.00
2,0.00
3,0.00
4,0.36
5,0.00
6,1.18
7,0.00
8,0.00